ErBePO: optimized geometry, PBE-GGA.

Lattice parameters (Å, degrees): 4.097 5.790 5.390 90.00 90.00 90.00
Element x y z (fractional)
Er (0.000, 0.247, 0.000)
Er (0.000, 0.753, 0.500)
Be (0.500, 0.385, 0.623)
Be (0.500, 0.615, 0.123)
P (0.000, 0.231, 0.507)
P (0.000, 0.769, 0.007)
O (0.500, 0.383, 0.940)
O (0.500, 0.617, 0.440)

## Properties
The calculated total energy comes out at -52.4 eV per cell. As for the energy above the most stable polymorph in this dataset: 28 meV/atom. The value obtained for the volume is 127.8 Å³ per cell. The total magnetization comes out at 0.001 μB per formula unit. The space group is Pmc2_1.